No. 1
A plane-wave DFT calculation with PBE was carried out for a relaxed Er3Ge2Rh5 crystal.

Calculated values
The value obtained for the formation energy is -85.4 kJ/mol of atoms. The calculation puts the mass density at 10.79 g/cm3.

Cell lengths 9.896, 9.896, 3.653 Å; angles 90.00, 90.00, 90.00 degrees
Positions (direct):
Er 0.000 0.000 0.000
Er 0.173 0.327 0.000
Er 0.327 0.827 0.000
Er 0.500 0.500 0.000
Er 0.673 0.173 0.000
Er 0.827 0.673 0.000
Ge 0.124 0.624 0.000
Ge 0.376 0.124 0.000
Ge 0.624 0.876 0.000
Ge 0.876 0.376 0.000
Rh 0.000 0.500 0.500
Rh 0.070 0.785 0.500
Rh 0.215 0.070 0.500
Rh 0.285 0.570 0.500
Rh 0.430 0.285 0.500
Rh 0.500 0.000 0.500
Rh 0.570 0.715 0.500
Rh 0.715 0.430 0.500
Rh 0.785 0.930 0.500
Rh 0.930 0.215 0.500



No. 2
A plane-wave DFT calculation with PBE was carried out for a relaxed ErGe2Rh3 crystal.

Calculated values
The value obtained for the formation energy is -53.5 kJ/mol of atoms. The calculation puts the mass density at 8.59 g/cm3.

Cell lengths 8.129, 8.129, 8.129 Å; angles 151.76, 151.76, 40.36 degrees
Positions (direct):
Er 0.000 0.000 0.000
Ge 0.343 0.343 0.000
Ge 0.657 0.657 0.000
Rh 0.250 0.750 0.500
Rh 0.500 0.500 0.000
Rh 0.750 0.250 0.500



No. 3
A plane-wave DFT calculation with PBE was carried out for a relaxed ErGeRh2 crystal.

Calculated values
The value obtained for the formation energy is -74.2 kJ/mol of atoms. The calculation puts the mass density at 11.09 g/cm3.

Cell lengths 4.296, 4.296, 3.615 Å; angles 90.00, 90.00, 90.00 degrees
Positions (direct):
Er 0.000 0.000 0.000
Ge 0.500 0.500 0.000
Rh 0.000 0.500 0.500
Rh 0.500 0.000 0.500



No. 4
A plane-wave DFT calculation with PBE was carried out for a relaxed ErGe3Rh5 crystal.

Calculated values
The value obtained for the formation energy is -50.6 kJ/mol of atoms. The calculation puts the mass density at 9.55 g/cm3.

Cell lengths 6.742, 6.742, 12.524 Å; angles 90.00, 90.00, 146.65 degrees
Positions (direct):
Er 0.122 0.878 0.750
Er 0.878 0.122 0.250
Ge 0.123 0.877 0.250
Ge 0.379 0.621 0.041
Ge 0.379 0.621 0.459
Ge 0.621 0.379 0.541
Ge 0.621 0.379 0.959
Ge 0.877 0.123 0.750
Rh 0.000 0.000 0.000
Rh 0.000 0.000 0.500
Rh 0.199 0.801 0.073
Rh 0.199 0.801 0.427
Rh 0.457 0.543 0.646
Rh 0.457 0.543 0.854
Rh 0.543 0.457 0.146
Rh 0.543 0.457 0.354
Rh 0.801 0.199 0.573
Rh 0.801 0.199 0.927



No. 5
A plane-wave DFT calculation with PBE was carried out for a relaxed Er2Ge3Rh5 crystal.

Calculated values
The value obtained for the formation energy is -76.9 kJ/mol of atoms. The calculation puts the mass density at 10.59 g/cm3.

Cell lengths 12.418, 12.418, 6.647 Å; angles 90.00, 90.00, 160.94 degrees
Positions (direct):
Er 0.019 0.981 0.500
Er 0.326 0.674 0.509
Er 0.674 0.326 0.009
Er 0.981 0.019 0.000
Ge 0.112 0.888 0.252
Ge 0.271 0.729 0.020
Ge 0.453 0.547 0.287
Ge 0.547 0.453 0.787
Ge 0.729 0.271 0.520
Ge 0.888 0.112 0.752
Rh 0.100 0.900 0.854
Rh 0.207 0.793 0.730
Rh 0.209 0.791 0.315
Rh 0.372 0.628 0.031
Rh 0.444 0.556 0.662
Rh 0.556 0.444 0.162
Rh 0.628 0.372 0.531
Rh 0.791 0.209 0.815
Rh 0.793 0.207 0.230
Rh 0.900 0.100 0.354



No. 6
A plane-wave DFT calculation with PBE was carried out for a relaxed ErGe4Rh2 crystal.

Calculated values
The value obtained for the formation energy is -60.7 kJ/mol of atoms. The calculation puts the mass density at 9.09 g/cm3.

Cell lengths 17.108, 4.220, 6.716 Å; angles 90.00, 90.00, 90.00 degrees
Positions (direct):
Er 0.142 0.250 0.008
Er 0.358 0.750 0.508
Er 0.642 0.250 0.492
Er 0.858 0.750 0.992
Ge 0.036 0.750 0.867
Ge 0.065 0.250 0.466
Ge 0.181 0.750 0.310
Ge 0.192 0.750 0.729
Ge 0.308 0.250 0.229
Ge 0.319 0.250 0.810
Ge 0.435 0.750 0.966
Ge 0.464 0.250 0.367
Ge 0.536 0.750 0.633
Ge 0.565 0.250 0.034
Ge 0.681 0.750 0.190
Ge 0.692 0.750 0.771
Ge 0.808 0.250 0.271
Ge 0.819 0.250 0.690
Ge 0.935 0.750 0.534
Ge 0.964 0.250 0.133
Rh 0.031 0.750 0.247
Rh 0.212 0.250 0.524
Rh 0.288 0.750 0.024
Rh 0.469 0.250 0.747
Rh 0.531 0.750 0.253
Rh 0.712 0.250 0.976
Rh 0.788 0.750 0.476
Rh 0.969 0.250 0.753



No. 7
A plane-wave DFT calculation with PBE was carried out for a relaxed Er2GeRh2 crystal.

Calculated values
The value obtained for the formation energy is -89.3 kJ/mol of atoms. The calculation puts the mass density at 10.35 g/cm3.

Cell lengths 5.638, 5.638, 7.583 Å; angles 101.96, 101.96, 57.09 degrees
Positions (direct):
Er 0.003 0.292 0.150
Er 0.292 0.003 0.650
Er 0.708 0.997 0.350
Er 0.997 0.708 0.850
Ge 0.345 0.655 0.250
Ge 0.655 0.345 0.750
Rh 0.238 0.498 0.500
Rh 0.498 0.238 0.000
Rh 0.502 0.762 0.000
Rh 0.762 0.502 0.500



No. 8
A plane-wave DFT calculation with PBE was carried out for a relaxed Er2GeRh6 crystal.

Calculated values
The value obtained for the formation energy is -28.5 kJ/mol of atoms. The calculation puts the mass density at 10.77 g/cm3.

Cell lengths 7.886, 7.886, 3.054 Å; angles 101.05, 101.05, 58.47 degrees
Positions (direct):
Er 0.153 0.153 0.148
Er 0.847 0.847 0.852
Ge 0.500 0.500 0.500
Rh 0.137 0.524 0.332
Rh 0.251 0.749 0.000
Rh 0.476 0.863 0.668
Rh 0.524 0.137 0.332
Rh 0.749 0.251 0.000
Rh 0.863 0.476 0.668



Which value of mass density does entry 1 give? 10.79 g/cm3